# 1
6
Lattice="-4.183 -3.300 0.580 -3.360 0.632 4.128 -4.975 1.805 -0.846" Properties=species:S:1:pos:R:3 comment="Ta5Os | Alexandria via LeMat-Bulk | PBE-GGA | optimized geometry" energy_ev_per_atom=-11.427 magnetic_moment_mub_per_fu=0.0 pbc="T T T"
Ta -5.733 1.110 2.124
Ta -7.823 -0.539 2.414
Ta -3.130 -0.216 0.966
Ta -5.337 -1.442 2.837
Ta -6.144 -0.855 0.351
Os 0.000 0.000 0.000



# 2
10
Lattice="-1.756 2.617 6.092 -0.767 -6.340 2.502 2.458 -0.015 0.715" Properties=species:S:1:pos:R:3 comment="TiCo2Ni2 | Alexandria via LeMat-Bulk | PBE-GGA | optimized geometry" energy_ev_per_atom=-6.767 magnetic_moment_mub_per_fu=3.2 pbc="T T T"
Co -0.477 0.079 6.223
Ti -1.262 -1.861 4.297
Co 0.521 -0.238 2.786
Ni -1.331 -4.567 4.478
Co -0.586 -3.499 6.523
Ti 0.000 0.000 0.000
Co 0.412 -3.817 3.086
Ni -0.507 -2.054 1.698
Ni -1.192 0.845 4.117
Ni -2.016 -1.669 6.896



# 3
10
Lattice="6.941 0.000 0.000 0.000 6.941 0.000 0.000 0.000 3.219" Properties=species:S:1:pos:R:3 comment="Ga2GeOs2 | Alexandria via LeMat-Bulk | PBE-GGA | optimized geometry" energy_ev_per_atom=-6.430 magnetic_moment_mub_per_fu=0.0 pbc="T T T"
Ga 2.473 0.997 1.610
Os 2.391 5.861 0.000
Ge 0.000 0.000 0.000
Ga 5.944 2.473 1.610
Ga 4.467 5.944 1.610
Ga 0.997 4.467 1.610
Os 1.080 2.391 0.000
Os 5.861 4.550 0.000
Ge 3.470 3.470 0.000
Os 4.550 1.080 0.000



# 4
4
Lattice="3.189 0.000 0.000 0.000 3.196 0.000 0.000 0.000 5.983" Properties=species:S:1:pos:R:3 comment="CoTeRu2 | Alexandria via LeMat-Bulk | PBE-GGA | optimized geometry" formation_energy_uncorrected_ev_per_atom=0.398 magnetic_moment_mub_per_fu=2.7 pbc="T T T"
Te 1.594 1.598 1.496
Ru 0.000 0.000 5.854
Co 1.594 1.598 4.487
Ru 0.000 0.000 3.120



# 5
5
Lattice="-1.600 -3.751 -3.181 4.768 -2.004 -0.035 -1.207 -2.943 4.078" Properties=species:S:1:pos:R:3 comment="YVSb3 | Alexandria via LeMat-Bulk | PBE-GGA | optimized geometry" formation_energy_uncorrected_ev_per_atom=0.065 magnetic_moment_mub_per_fu=0.8 pbc="T T T"
Sb 2.384 -1.002 -0.017
Sb -0.800 -1.876 -1.590
Sb -0.604 -1.472 2.039
V 0.000 0.000 0.000
Y 0.981 -4.349 0.431



# 6
5
Lattice="-1.089 -4.330 -3.461 5.492 -0.361 -1.276 2.682 -4.639 0.349" Properties=species:S:1:pos:R:3 comment="Y2Zn2Cu | Alexandria via LeMat-Bulk | PBE-GGA | optimized geometry" energy_ev_per_atom=-3.894 magnetic_moment_mub_per_fu=0.0 pbc="T T T"
Y 1.897 -5.657 -2.740
Zn 4.729 -6.250 -2.890
Y 5.187 -3.673 -1.648
Zn 2.355 -3.081 -1.498
Cu 0.000 0.000 0.000



# 7
12
Lattice="4.090 0.000 0.000 0.000 9.289 0.000 0.000 0.000 5.505" Properties=species:S:1:pos:R:3 comment="HfAsPd | Alexandria via LeMat-Bulk | PBE-GGA | optimized geometry" energy_ev_per_atom=-7.310 magnetic_moment_mub_per_fu=0.0 pbc="T T T"
As 0.000 5.708 1.376
Hf 0.000 6.440 4.128
Hf 2.045 7.493 1.376
Pd 2.045 4.644 0.000
Pd 2.045 4.644 2.752
Hf 2.045 1.796 4.128
Pd 0.000 0.000 0.000
As 0.000 3.581 4.128
Pd 0.000 0.000 2.752
Hf 0.000 2.849 1.376
As 2.045 1.063 1.376
As 2.045 8.226 4.128



# 8
5
Lattice="-3.796 -3.353 3.274 4.352 -0.959 4.064 -1.739 4.921 3.023" Properties=species:S:1:pos:R:3 comment="SrBr3F | Alexandria via LeMat-Bulk | PBE-GGA | optimized geometry" formation_energy_uncorrected_ev_per_atom=-0.865 magnetic_moment_mub_per_fu=2.0 pbc="T T T"
F -0.592 0.304 5.180
Br 2.176 -0.479 2.032
Br -0.869 2.460 1.511
Br -1.898 -1.676 1.637
Sr 0.000 0.000 0.000



# 9
13
Lattice="-7.431 -3.107 -0.625 -4.171 -5.569 -4.106 -4.050 -6.905 1.090" Properties=species:S:1:pos:R:3 comment="Sm4Fe3B6 | Alexandria via LeMat-Bulk | PBE-GGA | optimized geometry" energy_ev_per_atom=-6.819 magnetic_moment_mub_per_fu=2.4 pbc="T T T"
Sm -4.012 -3.993 -0.933
B -6.700 -9.055 -1.249
Sm -6.440 -6.411 -1.498
Fe -13.853 -13.789 -3.222
B -6.741 -8.610 -2.980
Sm -9.212 -9.170 -2.143
Fe 0.000 0.000 0.000
Fe -1.800 -1.792 -0.419
B -7.867 -7.345 -3.551
B -8.912 -6.970 -0.661
B -8.953 -6.525 -2.392
Sm -11.641 -11.588 -2.708
B -7.786 -8.235 -0.090



# 10
9
Lattice="-1.401 -2.703 -1.957 8.872 0.380 -3.530 -1.007 -5.256 7.981" Properties=species:S:1:pos:R:3 comment="Pr2Dy4Y2Ho | Alexandria via LeMat-Bulk | PBE-GGA | optimized geometry" energy_ev_per_atom=-5.054 magnetic_moment_mub_per_fu=0.0 pbc="T T T"
Dy 3.775 -5.452 1.482
Y 4.739 -3.816 -1.468
Pr 1.999 -1.672 -2.467
Dy -0.722 -3.144 1.513
Y 1.725 -3.763 3.963
Dy 2.690 -2.127 1.012
Dy 7.187 -4.436 0.982
Ho 0.000 0.000 0.000
Pr 4.466 -5.907 4.962



# 11
8
Lattice="3.974 0.000 0.000 0.000 6.931 -0.156 0.000 2.420 6.472" Properties=species:S:1:pos:R:3 comment="NaCe2TmS4 | Alexandria via LeMat-Bulk | PBE-GGA | optimized geometry" formation_energy_uncorrected_ev_per_atom=-1.862 magnetic_moment_mub_per_fu=2.4 pbc="T T T"
Na 1.987 3.466 -0.078
Tm 0.000 4.675 3.158
Ce 0.000 2.420 6.472
S 1.987 3.625 4.748
S 3.974 2.405 1.616
S 0.000 6.945 4.700
S 1.987 5.726 1.568
Ce 1.987 1.210 3.236



# 12
9
Lattice="-3.352 1.370 2.588 3.612 -4.466 7.043 4.072 7.316 -2.425" Properties=species:S:1:pos:R:3 comment="Ac4Bi2SeN2 | Alexandria via LeMat-Bulk | PBE-GGA | optimized geometry" formation_energy_uncorrected_ev_per_atom=-1.237 magnetic_moment_mub_per_fu=0.0 pbc="T T T"
N 1.607 5.112 -0.624
Ac 2.763 1.281 6.730
Ac 3.078 6.600 0.493
Ac 1.254 -2.381 6.712
Ac 1.568 2.939 0.476
N 2.724 -0.892 7.829
Se 0.000 0.000 0.000
Bi 1.844 5.045 3.546
Bi 2.487 -0.826 3.659